Record 1
The following is a DFT calculation (GGA-PBEsol) of crystalline ZnAsW2 at its relaxed geometry.

The structure belongs to space group Cmmm (No. 65); the cell edges are 3.1401, 4.6509 and 8.3955 Å and the angles 90.00°, 90.00° and 90.00°. Symmetry generates all atoms from Zn at (0.0000, 0.0000, 0.0000), As at (0.0000, 0.0000, 0.5000) and W at (0.0000, 0.5000, 0.2596).

Its density of states at the Fermi level is 4.86 states/eV/cell. The formation enthalpy at 0 K is 518 meV per atom. The calculation puts the volume at 122.61 Å³ per cell.

=====

Record 2
The following is a DFT calculation (GGA-PBEsol) of crystalline ZnAsW at its relaxed geometry.

The structure belongs to space group P3m1 (No. 156); the cell edges are 4.4910, 4.4910 and 2.6544 Å and the angles 90.00°, 90.00° and 120.00°. Symmetry generates all atoms from Zn at (0.0000, 0.0000, 0.0000), As at (0.3333, 0.6667, 0.5022) and W at (0.6667, 0.3333, 0.5009).

Its density of states at the Fermi level is 1.11 states/eV/cell. The formation enthalpy at 0 K is 361 meV per atom. The calculation puts the volume at 46.36 Å³ per cell.

=====

Record 3
The following is a DFT calculation (GGA-PBEsol) of crystalline Zn2AsW at its relaxed geometry.

The structure belongs to space group P4mm (No. 99); the cell edges are 3.2842, 3.2842 and 5.4634 Å and the angles 90.00°, 90.00° and 90.00°. Symmetry generates all atoms from Zn at (0.0000, 0.0000, 0.0000), Zn at (0.5000, 0.5000, 0.2158), As at (0.0000, 0.0000, 0.5006) and W at (0.5000, 0.5000, 0.7213).

Its density of states at the Fermi level is 1.85 states/eV/cell. The formation enthalpy at 0 K is 103 meV per atom. The calculation puts the volume at 58.93 Å³ per cell.

=====

Sequential VASP energy output: -8.06, -6.47, -5.42 eV/atom